Entry 1:
Crystalline NaGaNiPb at its relaxed geometry, computed with PBE.

The structure in extended XYZ format:
```
4
Lattice="-4.630 0.880 -0.396 -1.887 0.870 -4.249 -2.849 -3.190 -2.020" Properties=species:S:1:pos:R:3 pbc="T T T"
Na -7.024 -1.080 -4.999
Ga -4.683 -0.720 -3.333
Pb 0.000 0.000 0.000
Ni -2.341 -0.360 -1.666
```

M_tot: 0.0 μB per cell
Energy above the lowest structure with this stoichiometry: 0.0 meV/atom

=====

Entry 2:
Crystalline CsSrDy at its relaxed geometry, computed with PBE.

The structure in extended XYZ format:
```
3
Lattice="-2.566 3.927 4.558 1.725 6.305 0.231 -4.291 4.630 -1.712" Properties=species:S:1:pos:R:3 pbc="T T T"
Cs -1.283 3.715 0.769
Dy 0.000 0.000 0.000
Sr -3.849 11.146 2.308
```

M_tot: 2.2 μB per cell
Total DFT energy (no corrections): -0.0523 Ha/atom

=====

Entry 3:
Crystalline CuGeMoOs at its relaxed geometry, computed with PBE.

The structure in extended XYZ format:
```
4
Lattice="0.000 3.061 3.061 3.061 0.000 3.061 3.061 3.061 0.000" Properties=species:S:1:pos:R:3 pbc="T T T"
Os 1.530 1.530 1.530
Mo 3.061 3.061 3.061
Cu 4.591 4.591 4.591
Ge 0.000 0.000 0.000
```

M_tot: 0.0 μB per cell
Energy above the lowest structure with this stoichiometry: 0.0 meV/atom

=====

Entry 4:
Crystalline AlSnPt at its relaxed geometry, computed with PBE.

The structure in extended XYZ format:
```
12
Lattice="7.827 0.000 0.000 0.000 4.228 0.000 0.000 0.000 7.317" Properties=species:S:1:pos:R:3 pbc="T T T"
Sn 5.586 1.057 3.251
Sn 2.242 3.171 4.066
Sn 6.155 3.171 6.910
Sn 1.672 1.057 0.408
Al 0.101 1.057 5.467
Al 7.726 3.171 1.850
Al 3.813 3.171 1.809
Al 4.015 1.057 5.508
Pt 7.112 3.171 4.349
Pt 0.715 1.057 2.968
Pt 3.199 3.171 6.627
Pt 4.629 1.057 0.690
```

M_tot: 0.0 μB per cell
Total DFT energy (no corrections): -0.1857 Ha/atom